DFT (PBE-GGA) results for a geometry-optimized NaPmCdPb structure.

Lattice parameters (Å, degrees): 5.394 5.394 5.394 60.00 60.00 60.00
Element x y z (fractional)
Na: 0.000 0.000 0.000
Pm: 0.500 0.500 0.500
Cd: 0.750 0.750 0.750
Pb: 0.250 0.250 0.250

Results
Its magnetic moment is 0.000 μB/atom. The value obtained for the formation enthalpy at 0 K is -0.31 eV per atom.

DFT (PBE-GGA) results for a geometry-optimized NaPmCdPb structure.

Lattice parameters (Å, degrees): 4.345 4.880 5.244 90.00 90.00 90.00
Element x y z (fractional)
Na: 0.000 0.000 0.000
Pm: 0.000 0.500 0.500
Cd: 0.500 0.500 0.000
Pb: 0.500 0.000 0.500

Results
Its magnetic moment is 0.000 μB/atom. The value obtained for the formation enthalpy at 0 K is -0.31 eV per atom.

DFT (PBE-GGA) results for a geometry-optimized NaCd2PtPb structure.

Lattice parameters (Å, degrees): 5.294 5.294 5.354 90.00 90.00 90.00
Element x y z (fractional)
Na: 0.000 0.000 0.000
Cd: 0.000 0.500 0.500
Cd: 0.500 0.000 0.500
Pt: 0.500 0.500 0.500
Pb: 0.500 0.500 0.000

Results
Its magnetic moment is 0.000 μB/atom. The value obtained for the formation enthalpy at 0 K is -0.10 eV per atom.

Which value of formation enthalpy at 0 K does entry 3 give? -0.10 eV per atom

Look up the formation enthalpy at 0 K of the third one. -0.10 eV per atom

Look up the magnetic moment of the first one. 0.000 μB/atom

Which value of formation enthalpy at 0 K does entry 1 give? -0.31 eV per atom